Here is a geometry-optimized AlCdFeCu structure from OQMD via LeMat-Bulk. Energies are from GGA-PBE.

symmetry	F-43m, No. 216
total DFT energy (no corrections)	-16.22	eV for the cell shown
total magnetic moment	1.99	μB per cell

Cell lengths 4.3466, 4.3466, 4.3466 Å; angles 60.00, 60.00, 60.00 degrees
Sites, in units of the cell vectors:
Al 0.0000 0.0000 0.0000
Cd 0.5000 0.5000 0.5000
Fe 0.2500 0.2500 0.2500
Cu 0.7500 0.7500 0.7500